Compound: CaFeW2
Source: the Alexandria database
Functional: PBE-GGA
Structure: optimized geometry

Cell lengths 5.394, 5.394, 5.394 Å; angles 146.36, 125.10, 65.95 degrees
Last column: magnetic moment on the atom in μB.
Positions (direct):
Ca (0.491, 0.491, 0.000)  -0.03
Fe (0.225, 0.725, 0.500)  1.96
W (0.007, 0.007, 0.000)  -0.16
W (0.776, 0.276, 0.500)  -0.02

Computed properties:
M_tot = 1.62 μB/cell
ΔH_f (0 K) = 0.85 eV/atom
VASP energy = -8.244 eV/atom
Energy above the most stable polymorph in this dataset = 274.4 meV/atom